[1]
# AcNd PBE optimized geometry
# energy above the most stable polymorph in this dataset = 0 meV per atom
data_AcNd
_symmetry_space_group_name_H-M 'C m c m'
_symmetry_Int_Tables_number 63
_symmetry_space_group_name_Hall '-C 2c 2'
_cell_length_a 3.817
_cell_length_b 14.165
_cell_length_c 5.930
_cell_angle_alpha 90.00
_cell_angle_beta 90.00
_cell_angle_gamma 90.00
loop_
_atom_site_label
_atom_site_type_symbol
_atom_site_fract_x
_atom_site_fract_y
_atom_site_fract_z
_atom_site_occupancy
Ac1 Ac 0.000 0.175 0.250 1
Nd1 Nd 0.000 0.439 0.250 1

[2]
A relaxed Ac5Nd6 crystal, computed with PBE.

Geometry as CIF:
```
data_Ac5Nd6
_symmetry_space_group_name_H-M 'C 1 2/m 1'
_symmetry_Int_Tables_number 12
_symmetry_space_group_name_Hall '-C 2y'
_cell_length_a 12.435
_cell_length_b 11.237
_cell_length_c 6.616
_cell_angle_alpha 90.00
_cell_angle_beta 99.01
_cell_angle_gamma 90.00
loop_
_atom_site_label
_atom_site_type_symbol
_atom_site_fract_x
_atom_site_fract_y
_atom_site_fract_z
_atom_site_occupancy
Ac1 Ac 0.000 0.000 0.000 1
Ac2 Ac 0.000 0.172 0.500 1
Ac3 Ac 0.000 0.336 0.000 1
Nd1 Nd 0.246 0.167 0.237 1
Nd2 Nd 0.250 0.000 0.739 1
```

[3]
# Ac3Nd8 PBE optimized geometry
# energy above the most stable polymorph in this dataset = 512 meV per atom
data_Ac3Nd8
_symmetry_space_group_name_H-M 'R -3'
_symmetry_Int_Tables_number 148
_symmetry_space_group_name_Hall '-R 3'
_cell_length_a 10.2598
_cell_length_b 10.2598
_cell_length_c 14.0090
_cell_angle_alpha 90.00
_cell_angle_beta 90.00
_cell_angle_gamma 120.00
loop_
_atom_site_label
_atom_site_type_symbol
_atom_site_fract_x
_atom_site_fract_y
_atom_site_fract_z
_atom_site_occupancy
Ac1 Ac 0.0000 0.5000 0.0000 1
Nd1 Nd 0.0000 0.0000 0.3937 1
Nd2 Nd 0.0239 0.8113 0.1112 1

[4]
A relaxed AcNd8 crystal, computed with PBE.

Geometry as CIF:
```
data_AcNd8
_symmetry_space_group_name_H-M 'I 4/m m m'
_symmetry_Int_Tables_number 139
_symmetry_space_group_name_Hall '-I 4 2'
_cell_length_a 11.150
_cell_length_b 11.150
_cell_length_c 5.258
_cell_angle_alpha 90.00
_cell_angle_beta 90.00
_cell_angle_gamma 90.00
loop_
_atom_site_label
_atom_site_type_symbol
_atom_site_fract_x
_atom_site_fract_y
_atom_site_fract_z
_atom_site_occupancy
Ac1 Ac 0.000 0.000 0.000 1
Nd1 Nd 0.000 0.336 0.000 1
Nd2 Nd 0.169 0.169 0.500 1
```

[5]
A relaxed Ac2Nd5 crystal, computed with PBE.

Geometry as CIF:
```
data_Ac2Nd5
_symmetry_space_group_name_H-M 'C 1 2/m 1'
_symmetry_Int_Tables_number 12
_symmetry_space_group_name_Hall '-C 2y'
_cell_length_a 11.919
_cell_length_b 5.315
_cell_length_c 8.474
_cell_angle_alpha 90.00
_cell_angle_beta 98.16
_cell_angle_gamma 90.00
loop_
_atom_site_label
_atom_site_type_symbol
_atom_site_fract_x
_atom_site_fract_y
_atom_site_fract_z
_atom_site_occupancy
Ac1 Ac 0.071 0.000 0.218 1
Nd1 Nd 0.000 0.500 0.500 1
Nd2 Nd 0.145 0.500 0.929 1
Nd3 Nd 0.214 0.000 0.643 1
```

[6]
# AcNd6 PBE optimized geometry
# energy above the most stable polymorph in this dataset = 880 meV per atom
data_AcNd6
_symmetry_space_group_name_H-M 'I m -3 m'
_symmetry_Int_Tables_number 229
_symmetry_space_group_name_Hall '-I 4 2 3'
_cell_length_a 8.306
_cell_length_b 8.306
_cell_length_c 8.306
_cell_angle_alpha 90.00
_cell_angle_beta 90.00
_cell_angle_gamma 90.00
loop_
_atom_site_label
_atom_site_type_symbol
_atom_site_fract_x
_atom_site_fract_y
_atom_site_fract_z
_atom_site_occupancy
Ac1 Ac 0.000 0.000 0.000 1
Nd1 Nd 0.000 0.250 0.500 1

[7]
A relaxed Ac7Nd crystal, computed with PBE.

Geometry as CIF:
```
data_Ac7Nd
_symmetry_space_group_name_H-M 'F m -3 m'
_symmetry_Int_Tables_number 225
_symmetry_space_group_name_Hall '-F 4 2 3'
_cell_length_a 11.207
_cell_length_b 11.207
_cell_length_c 11.207
_cell_angle_alpha 90.00
_cell_angle_beta 90.00
_cell_angle_gamma 90.00
loop_
_atom_site_label
_atom_site_type_symbol
_atom_site_fract_x
_atom_site_fract_y
_atom_site_fract_z
_atom_site_occupancy
Ac1 Ac 0.000 0.000 0.000 1
Ac2 Ac 0.000 0.250 0.250 1
Nd1 Nd 0.000 0.000 0.500 1
```

[8]
A relaxed AcNd7 crystal, computed with PBE.

Geometry as CIF:
```
data_AcNd7
_symmetry_space_group_name_H-M 'F m -3 m'
_symmetry_Int_Tables_number 225
_symmetry_space_group_name_Hall '-F 4 2 3'
_cell_length_a 10.517
_cell_length_b 10.517
_cell_length_c 10.517
_cell_angle_alpha 90.00
_cell_angle_beta 90.00
_cell_angle_gamma 90.00
loop_
_atom_site_label
_atom_site_type_symbol
_atom_site_fract_x
_atom_site_fract_y
_atom_site_fract_z
_atom_site_occupancy
Ac1 Ac 0.000 0.000 0.000 1
Nd1 Nd 0.000 0.000 0.500 1
Nd2 Nd 0.000 0.250 0.250 1
```

[9]
A relaxed AcNd5 crystal, computed with PBE.

Geometry as CIF:
```
data_AcNd5
_symmetry_space_group_name_H-M 'C m m m'
_symmetry_Int_Tables_number 65
_symmetry_space_group_name_Hall '-C 2 2'
_cell_length_a 5.267
_cell_length_b 15.860
_cell_length_c 5.284
_cell_angle_alpha 90.00
_cell_angle_beta 90.00
_cell_angle_gamma 90.00
loop_
_atom_site_label
_atom_site_type_symbol
_atom_site_fract_x
_atom_site_fract_y
_atom_site_fract_z
_atom_site_occupancy
Ac1 Ac 0.000 0.000 0.000 1
Nd1 Nd 0.000 0.169 0.500 1
Nd2 Nd 0.000 0.330 0.000 1
Nd3 Nd 0.000 0.500 0.500 1
```

[10]
# Ac4Nd PBE optimized geometry
# energy above the most stable polymorph in this dataset = 0 meV per atom
data_Ac4Nd
_symmetry_space_group_name_H-M 'I 4/m'
_symmetry_Int_Tables_number 87
_symmetry_space_group_name_Hall '-I 4'
_cell_length_a 8.803
_cell_length_b 8.803
_cell_length_c 5.562
_cell_angle_alpha 90.00
_cell_angle_beta 90.00
_cell_angle_gamma 90.00
loop_
_atom_site_label
_atom_site_type_symbol
_atom_site_fract_x
_atom_site_fract_y
_atom_site_fract_z
_atom_site_occupancy
Ac1 Ac 0.101 0.702 0.000 1
Nd1 Nd 0.000 0.000 0.500 1

[11]
A relaxed Ac5Nd crystal, computed with PBE.

Geometry as CIF:
```
data_Ac5Nd
_symmetry_space_group_name_H-M 'C m m m'
_symmetry_Int_Tables_number 65
_symmetry_space_group_name_Hall '-C 2 2'
_cell_length_a 5.562
_cell_length_b 16.743
_cell_length_c 5.590
_cell_angle_alpha 90.00
_cell_angle_beta 90.00
_cell_angle_gamma 90.00
loop_
_atom_site_label
_atom_site_type_symbol
_atom_site_fract_x
_atom_site_fract_y
_atom_site_fract_z
_atom_site_occupancy
Ac1 Ac 0.000 0.000 0.000 1
Ac2 Ac 0.000 0.164 0.500 1
Ac3 Ac 0.000 0.335 0.000 1
Nd1 Nd 0.000 0.500 0.500 1
```

[12]
# Ac3Nd13 PBE optimized geometry
# energy above the most stable polymorph in this dataset = 0 meV per atom
data_Ac3Nd13
_symmetry_space_group_name_H-M 'A m m 2'
_symmetry_Int_Tables_number 38
_symmetry_space_group_name_Hall 'A 2 -2'
_cell_length_a 10.589
_cell_length_b 10.540
_cell_length_c 10.590
_cell_angle_alpha 90.00
_cell_angle_beta 90.00
_cell_angle_gamma 90.00
loop_
_atom_site_label
_atom_site_type_symbol
_atom_site_fract_x
_atom_site_fract_y
_atom_site_fract_z
_atom_site_occupancy
Ac1 Ac 0.000 0.000 0.000 1
Ac2 Ac 0.253 0.000 0.258 1
Nd1 Nd 0.000 0.000 0.510 1
Nd2 Nd 0.000 0.248 0.755 1
Nd3 Nd 0.253 0.000 0.753 1
Nd4 Nd 0.253 0.249 0.506 1
Nd5 Nd 0.500 0.000 0.002 1
Nd6 Nd 0.500 0.000 0.511 1
Nd7 Nd 0.500 0.244 0.756 1

Density of states at the Fermi level, respectively: 11.116; 31.383; 45.722; 30.755; 25.139; 11.490; 58.515; 42.206; 20.013; 20.881; 22.440; 53.297 states/eV/cell.
Calculated formation energy, respectively: 0.030; 0.166; 0.545; 0.020; 0.031; 1.026; 0.023; 0.013; 0.023; 0.032; 0.023; 0.023 eV per atom.
Raw total energy, respectively: -4.41; -4.30; -4.04; -4.67; -4.55; -3.65; -4.17; -4.67; -4.63; -4.21; -4.20; -4.62 eV/atom.